i | This record from the Alexandria database describes a relaxed DyYGa4 crystal. The functional is GGA-PBE.

Results
ρ = 6.98 g/cm³
Magnetic moment = 0.00 μB/cell
Fermi-level density of states = 2.60 states/eV/f.u.

a b c (Å): 4.220 5.879 5.879
angles (deg): 76.80 68.97 68.97
Sites, in units of the cell vectors:
Dy (0.000, 0.000, 0.000)
Y (0.500, 0.500, 0.500)
Ga (0.251, 0.415, 0.082)
Ga (0.251, 0.082, 0.415)
Ga (0.749, 0.585, 0.918)
Ga (0.749, 0.918, 0.585)



ii | This record from the Alexandria database describes a relaxed DyYGa4 crystal. The functional is GGA-PBE.

Results
ρ = 7.44 g/cm³
Magnetic moment = 0.00 μB/cell
Fermi-level density of states = 3.32 states/eV/f.u.

a b c (Å): 5.511 5.511 5.511
angles (deg): 60.00 60.00 60.00
Sites, in units of the cell vectors:
Y (0.000, 0.000, 0.000)
Ga (0.625, 0.625, 0.125)
Ga (0.625, 0.125, 0.625)
Ga (0.625, 0.625, 0.625)
Ga (0.125, 0.625, 0.625)
Dy (0.250, 0.250, 0.250)



iii | This record from the Alexandria database describes a relaxed DyYGa4 crystal. The functional is GGA-PBE.

Results
ρ = 7.19 g/cm³
Magnetic moment = 0.00 μB/cell
Fermi-level density of states = 3.17 states/eV/f.u.

a b c (Å): 4.254 5.807 5.807
angles (deg): 74.04 68.51 68.51
Sites, in units of the cell vectors:
Dy (0.561, 0.439, 0.439)
Y (0.439, 0.061, 0.061)
Ga (0.161, 0.640, 0.037)
Ga (0.839, 0.859, 0.464)
Ga (0.839, 0.464, 0.859)
Ga (0.161, 0.037, 0.640)



Most stable to least stable: i, iii, ii



i | This record from the Alexandria database describes a relaxed Dy5ZnGa2 crystal. The functional is GGA-PBE.

Results
ρ = 7.88 g/cm³
Magnetic moment = 0.00 μB/cell
Fermi-level density of states = 10.54 states/eV/f.u.

a b c (Å): 4.983 4.987 19.930
angles (deg): 90.00 90.00 119.98
Sites, in units of the cell vectors:
Dy (0.999, 0.998, 0.843)
Dy (0.999, 0.998, 0.657)
Dy (0.334, 0.668, 0.446)
Dy (0.334, 0.668, 0.054)
Dy (0.668, 0.336, 0.250)
Dy (0.332, 0.664, 0.750)
Dy (0.666, 0.332, 0.554)
Dy (0.666, 0.332, 0.946)
Dy (0.001, 0.002, 0.157)
Dy (0.001, 0.002, 0.343)
Zn (0.665, 0.330, 0.750)
Zn (0.335, 0.670, 0.250)
Ga (0.667, 0.335, 0.402)
Ga (0.667, 0.335, 0.098)
Ga (0.333, 0.665, 0.598)
Ga (0.333, 0.665, 0.902)



ii | This record from the Alexandria database describes a relaxed Dy5ZnGa2 crystal. The functional is GGA-PBE.

Results
ρ = 8.17 g/cm³
Magnetic moment = 0.00 μB/cell
Fermi-level density of states = 6.04 states/eV/f.u.

a b c (Å): 7.502 7.502 9.061
angles (deg): 114.45 114.45 90.00
Sites, in units of the cell vectors:
Dy (0.525, 0.681, 0.705)
Dy (0.819, 0.975, 0.295)
Dy (0.000, 0.000, 0.000)
Dy (0.500, 0.500, 0.000)
Dy (0.181, 0.025, 0.705)
Dy (0.681, 0.181, 0.705)
Dy (0.025, 0.525, 0.705)
Dy (0.319, 0.819, 0.295)
Dy (0.975, 0.475, 0.295)
Dy (0.475, 0.319, 0.295)
Zn (0.750, 0.750, 0.500)
Zn (0.250, 0.250, 0.500)
Ga (0.121, 0.379, 0.000)
Ga (0.621, 0.121, 0.000)
Ga (0.379, 0.879, 0.000)
Ga (0.879, 0.621, 0.000)



Most stable to least stable: ii, i



i | This record from the Alexandria database describes a relaxed DyZn3Ga2 crystal. The functional is GGA-PBE.

Results
ρ = 7.53 g/cm³
Magnetic moment = 0.00 μB/cell
Fermi-level density of states = 1.52 states/eV/f.u.

a b c (Å): 4.349 7.994 7.990
angles (deg): 56.27 74.21 74.22
Sites, in units of the cell vectors:
Dy (0.866, 0.133, 0.134)
Dy (0.134, 0.867, 0.866)
Zn (0.325, 0.469, 0.881)
Zn (0.000, 0.338, 0.662)
Zn (0.675, 0.120, 0.531)
Zn (0.325, 0.880, 0.469)
Zn (0.000, 0.662, 0.338)
Zn (0.675, 0.531, 0.119)
Ga (0.500, 0.164, 0.836)
Ga (0.500, 0.836, 0.164)
Ga (0.814, 0.686, 0.686)
Ga (0.186, 0.314, 0.314)



ii | This record from the Alexandria database describes a relaxed DyZn3Ga2 crystal. The functional is GGA-PBE.

Results
ρ = 7.63 g/cm³
Magnetic moment = 0.00 μB/cell
Fermi-level density of states = 1.26 states/eV/f.u.

a b c (Å): 4.197 7.934 7.538
angles (deg): 115.37 90.00 105.34
Sites, in units of the cell vectors:
Dy (0.856, 0.713, 0.927)
Dy (0.144, 0.287, 0.073)
Zn (0.311, 0.622, 0.537)
Zn (0.963, 0.925, 0.625)
Zn (0.613, 0.226, 0.724)
Zn (0.387, 0.774, 0.276)
Zn (0.037, 0.075, 0.375)
Zn (0.689, 0.378, 0.463)
Ga (0.480, 0.959, 0.826)
Ga (0.520, 0.041, 0.174)
Ga (0.796, 0.592, 0.280)
Ga (0.204, 0.408, 0.720)



Most stable to least stable: ii, i



i | This record from the Alexandria database describes a relaxed Dy2Zn3Ga crystal. The functional is GGA-PBE.

Results
ρ = 7.77 g/cm³
Magnetic moment = 0.00 μB/cell
Fermi-level density of states = 4.73 states/eV/f.u.

a b c (Å): 3.940 4.212 8.134
angles (deg): 105.00 104.02 90.00
Sites, in units of the cell vectors:
Dy (0.124, 0.124, 0.248)
Dy (0.876, 0.376, 0.752)
Zn (0.704, 0.704, 0.408)
Zn (0.542, 0.542, 0.083)
Zn (0.296, 0.796, 0.591)
Ga (0.459, 0.959, 0.918)



ii | This record from the Alexandria database describes a relaxed Dy2Zn3Ga crystal. The functional is GGA-PBE.

Results
ρ = 8.08 g/cm³
Magnetic moment = 0.00 μB/cell
Fermi-level density of states = 4.20 states/eV/f.u.

a b c (Å): 3.534 4.460 7.703
angles (deg): 90.00 90.00 90.00
Sites, in units of the cell vectors:
Dy (0.000, 0.500, 0.001)
Dy (0.000, 0.000, 0.500)
Zn (0.500, 0.000, 0.831)
Zn (0.500, 0.000, 0.164)
Zn (0.500, 0.500, 0.670)
Ga (0.500, 0.500, 0.335)



Most stable to least stable: ii, i



i | This record from the Alexandria database describes a relaxed Dy2Zn3Ga2 crystal. The functional is GGA-PBE.

Results
ρ = 8.09 g/cm³
Magnetic moment = 0.00 μB/cell
Fermi-level density of states = 3.39 states/eV/f.u.

a b c (Å): 4.314 5.653 6.508
angles (deg): 110.74 90.00 112.43
Sites, in units of the cell vectors:
Dy (0.848, 0.695, 0.234)
Dy (0.152, 0.305, 0.766)
Zn (0.500, 0.000, 0.000)
Zn (0.592, 0.184, 0.421)
Zn (0.408, 0.816, 0.579)
Ga (0.850, 0.701, 0.751)
Ga (0.150, 0.299, 0.249)



ii | This record from the Alexandria database describes a relaxed Dy2Zn3Ga2 crystal. The functional is GGA-PBE.

Results
ρ = 7.70 g/cm³
Magnetic moment = 0.00 μB/cell
Fermi-level density of states = 2.51 states/eV/f.u.

a b c (Å): 3.408 4.152 10.280
angles (deg): 101.65 90.00 90.00
Sites, in units of the cell vectors:
Dy (0.000, 0.847, 0.694)
Dy (0.000, 0.153, 0.306)
Zn (0.500, 0.565, 0.130)
Zn (0.500, 0.435, 0.870)
Zn (0.000, 0.000, 0.000)
Ga (0.500, 0.714, 0.428)
Ga (0.500, 0.286, 0.572)



Most stable to least stable: i, ii



i | This record from the Alexandria database describes a relaxed Dy3ZnGa2 crystal. The functional is GGA-PBE.

Results
ρ = 8.43 g/cm³
Magnetic moment = 0.00 μB/cell
Fermi-level density of states = 4.00 states/eV/f.u.

a b c (Å): 3.560 3.560 10.760
angles (deg): 90.00 90.00 90.00
Sites, in units of the cell vectors:
Dy (0.000, 0.000, 0.000)
Dy (0.000, 0.000, 0.664)
Dy (0.000, 0.000, 0.336)
Zn (0.500, 0.500, 0.500)
Ga (0.500, 0.500, 0.828)
Ga (0.500, 0.500, 0.172)



ii | This record from the Alexandria database describes a relaxed Dy3ZnGa2 crystal. The functional is GGA-PBE.

Results
ρ = 8.44 g/cm³
Magnetic moment = 0.00 μB/cell
Fermi-level density of states = 3.36 states/eV/f.u.

a b c (Å): 5.051 5.051 12.334
angles (deg): 90.00 90.00 120.00
Sites, in units of the cell vectors:
Dy (0.333, 0.667, 0.418)
Dy (0.667, 0.333, 0.083)
Dy (0.000, 0.000, 0.750)
Dy (0.000, 0.000, 0.250)
Dy (0.333, 0.667, 0.917)
Dy (0.667, 0.333, 0.582)
Zn (0.333, 0.667, 0.668)
Zn (0.667, 0.333, 0.332)
Ga (0.000, 0.000, 0.500)
Ga (0.333, 0.667, 0.172)
Ga (0.667, 0.333, 0.828)
Ga (0.000, 0.000, 0.000)



Most stable to least stable: ii, i